Here is a relaxed structure of La4Pr4Se3 from the Open Quantum Materials Database. Energies are from PBE.

Lattice parameters (Å, degrees): 10.4219 9.1673 9.1673 23.27 90.00 90.00
Element x y z (fractional)
1 La 0.0000 0.0000 0.0000
2 La 0.2373 0.1518 0.1518
3 La 0.5000 0.0085 0.0085
4 La 0.7627 0.1518 0.1518
5 Pr 0.0000 0.2963 0.2963
6 Pr 0.2684 0.8611 0.8611
7 Pr 0.5000 0.2636 0.2636
8 Pr 0.7316 0.8611 0.8611
9 Se 0.0000 0.6496 0.6496
10 Se 0.2591 0.5088 0.5088
11 Se 0.7409 0.5088 0.5088

Output
symmetry = No. 38
energy = -58.11 eV/cell

Here is a relaxed structure of LaPr3Se4 from the Open Quantum Materials Database. Energies are from PBE.

Lattice parameters (Å, degrees): 8.5969 12.0814 4.2431 90.00 90.00 90.00
Element x y z (fractional)
1 La 0.0000 0.0000 0.0000
2 La 0.5000 0.5000 0.0000
3 Pr 0.0000 0.5000 0.0000
4 Pr 0.2500 0.2500 0.5000
5 Pr 0.2500 0.7500 0.5000
6 Pr 0.5000 0.0000 0.0000
7 Pr 0.7500 0.2500 0.5000
8 Pr 0.7500 0.7500 0.5000
9 Se 0.0000 0.2505 0.0000
10 Se 0.0000 0.7495 0.0000
11 Se 0.2488 0.5000 0.5000
12 Se 0.2512 0.0000 0.5000
13 Se 0.5000 0.2495 0.0000
14 Se 0.5000 0.7505 0.0000
15 Se 0.7488 0.0000 0.5000
16 Se 0.7512 0.5000 0.5000

Output
symmetry = No. 65
energy = -96.59 eV/cell

- Which of these has the highest energy?
  La4Pr4Se3

- energy of number 2 (LaPr3Se4)?
  -96.59 eV/cell

Please write out number 2 again, unchanged.
Here is a relaxed structure of LaPr3Se4 from the Open Quantum Materials Database. Energies are from PBE.

Lattice parameters (Å, degrees): 8.5969 12.0814 4.2431 90.00 90.00 90.00
Element x y z (fractional)
1 La 0.0000 0.0000 0.0000
2 La 0.5000 0.5000 0.0000
3 Pr 0.0000 0.5000 0.0000
4 Pr 0.2500 0.2500 0.5000
5 Pr 0.2500 0.7500 0.5000
6 Pr 0.5000 0.0000 0.0000
7 Pr 0.7500 0.2500 0.5000
8 Pr 0.7500 0.7500 0.5000
9 Se 0.0000 0.2505 0.0000
10 Se 0.0000 0.7495 0.0000
11 Se 0.2488 0.5000 0.5000
12 Se 0.2512 0.0000 0.5000
13 Se 0.5000 0.2495 0.0000
14 Se 0.5000 0.7505 0.0000
15 Se 0.7488 0.0000 0.5000
16 Se 0.7512 0.5000 0.5000

Output
symmetry = No. 65
energy = -96.59 eV/cell